1.
Entry from OQMD via LeMat-Bulk: a geometry-optimized Co6MoW structure (GGA-PBE).

```
8
Lattice="4.0894 0.0000 0.0000 0.0000 5.0915 0.0000 0.0000 0.0000 4.4377" Properties=species:S:1:pos:R:3 pbc="T T T"
Co 0.0000 0.0000 0.0000
Co 0.0000 1.2811 2.2919
Co 0.0000 3.8104 2.2919
Co 2.0447 1.2597 3.7527
Co 2.0447 2.5457 1.6180
Co 2.0447 3.8318 3.7527
Mo 2.0447 0.0000 1.5202
W 0.0000 2.5457 0.0902
```

- E_tot: -8.35 eV per atom
- Symmetry: Pmm2
- ρ: 11.38 Mg/m³
- ΔH_f (0 K): -0.04 eV per atom

***

2.
Entry from OQMD via LeMat-Bulk: a geometry-optimized Co2MoW structure (GGA-PBE).

```
4
Lattice="0.0000 2.9847 2.9847 2.9847 0.0000 2.9847 2.9847 2.9847 0.0000" Properties=species:S:1:pos:R:3 pbc="T T T"
Co 0.0000 0.0000 0.0000
Co 1.4924 1.4924 1.4924
Mo 4.4771 4.4771 4.4771
W 2.9847 2.9847 2.9847
```

- E_tot: -9.23 eV per atom
- Symmetry: F-43m
- ρ: 12.42 Mg/m³
- ΔH_f (0 K): 0.27 eV per atom

***

3.
Entry from OQMD via LeMat-Bulk: a geometry-optimized Y2Co2Mo3 structure (GGA-PBE).

```
7
Lattice="2.2007 1.2706 7.3689 -2.2007 1.2706 7.3689 0.0000 -2.5412 7.3689" Properties=species:S:1:pos:R:3 pbc="T T T"
Y 0.0000 0.0000 0.0000
Y 0.0000 0.0000 9.4657
Co 0.0000 0.0000 3.6261
Co 0.0000 0.0000 15.2952
Mo 0.0000 0.0000 6.0156
Mo 0.0000 0.0000 12.5804
Mo 0.0000 0.0000 18.8779
```

- E_tot: -8.34 eV per atom
- Symmetry: R3m
- ρ: 7.84 Mg/m³
- ΔH_f (0 K): 0.19 eV per atom

***

4.
Entry from OQMD via LeMat-Bulk: a geometry-optimized ZnCoMo structure (GGA-PBE).

```
3
Lattice="0.0000 2.8104 2.8104 2.8104 0.0000 2.8104 2.8104 2.8104 0.0000" Properties=species:S:1:pos:R:3 pbc="T T T"
Zn 0.0000 0.0000 0.0000
Co 4.2155 4.2155 4.2155
Mo 2.8104 2.8104 2.8104
```

- E_tot: -6.14 eV per atom
- Relative energy among the computed polymorphs: 0.000 eV/atom
- Symmetry: F-43m
- ρ: 8.24 Mg/m³
- ΔH_f (0 K): 0.27 eV per atom

***

5.
Entry from OQMD via LeMat-Bulk: a geometry-optimized Zr9CoMo4 structure (GGA-PBE).

```
28
Lattice="8.8050 0.0000 0.0000 -4.4025 7.6253 0.0000 0.0000 0.0000 8.4313" Properties=species:S:1:pos:R:3 pbc="T T T"
Zr -1.6441 4.1343 2.1078
Zr 0.0000 3.0675 4.6954
Zr 0.0000 3.0675 7.9516
Zr -1.7460 6.0916 4.6954
Zr -1.7460 6.0916 7.9516
Zr 2.6565 1.5337 0.4797
Zr 2.6565 1.5337 3.7360
Zr 1.6441 4.1343 2.1078
Zr 0.0000 6.9820 2.1078
Zr 4.4025 0.6433 6.3235
Zr 2.7584 3.4910 6.3235
Zr 1.7460 6.0916 4.6954
Zr 1.7460 6.0916 7.9516
Zr 6.1485 1.5337 0.4797
Zr 6.1485 1.5337 3.7360
Zr 4.4025 4.5579 0.4797
Zr 4.4025 4.5579 3.7360
Zr 6.0466 3.4910 6.3235
Co 0.0000 5.0836 6.3235
Co 4.4025 2.5418 2.1078
Mo 0.0000 0.0000 0.0000
Mo 0.0000 0.0000 4.2157
Mo 0.0000 1.6828 2.1078
Mo -2.9452 6.7840 2.1078
Mo 1.4573 0.8414 6.3235
Mo 2.9452 6.7840 2.1078
Mo 7.3477 0.8414 6.3235
Mo 4.4025 5.9426 6.3235
```

- E_tot: -9.23 eV per atom
- Symmetry: P6_3/mmc
- ρ: 7.41 Mg/m³
- ΔH_f (0 K): -0.13 eV per atom

***

6.
Entry from OQMD via LeMat-Bulk: a geometry-optimized Co8N structure (GGA-PBE).

```
9
Lattice="0.0000 3.5950 3.5950 3.5950 0.0000 3.5950 3.5950 3.5950 0.0000" Properties=species:S:1:pos:R:3 pbc="T T T"
Co 3.5950 3.5950 1.7256
Co 3.5950 1.7256 3.5950
Co 5.4644 3.5950 3.5950
Co 1.7975 1.7975 1.7975
Co 5.3925 5.3925 5.3925
Co 1.7256 3.5950 3.5950
Co 3.5950 5.4644 3.5950
Co 3.5950 3.5950 5.4644
N 3.5950 3.5950 3.5950
```

- E_tot: -7.20 eV per atom
- Symmetry: Fm-3m
- ρ: 8.68 Mg/m³

***

7.
Entry from OQMD via LeMat-Bulk: a geometry-optimized Co2N structure (GGA-PBE).

```
6
Lattice="2.6921 0.0000 0.0000 0.0000 4.9094 0.0000 0.0000 0.0000 4.2047" Properties=species:S:1:pos:R:3 pbc="T T T"
Co 0.6730 0.0207 1.0490
Co 0.6730 2.4340 1.0490
Co 2.0191 2.4754 3.1557
Co 2.0191 4.8887 3.1557
N 0.6730 3.6821 3.7995
N 2.0191 1.2274 0.4052
```

- E_tot: -7.24 eV per atom
- Symmetry: Pmmn
- ρ: 7.88 Mg/m³

***

8.
Entry from OQMD via LeMat-Bulk: a geometry-optimized CoN2 structure (GGA-PBE).

```
6
Lattice="0.0000 2.9305 2.9305 2.9305 0.0000 2.9305 2.9305 2.9305 0.0000" Properties=species:S:1:pos:R:3 pbc="T T T"
Co 0.7326 0.7326 0.7326
Co 5.1284 5.1284 5.1284
N 2.9305 1.4653 1.4653
N 1.4653 2.9305 1.4653
N 1.4653 1.4653 2.9305
N 2.9305 2.9305 2.9305
```

- E_tot: -5.30 eV per atom
- Symmetry: Fd-3m
- ρ: 5.74 Mg/m³

***

Question: Which formula does entry 5 have?
Answer: Zr9CoMo4

***

Question: What is the E_tot in the first record?
Answer: -8.35 eV per atom